No. 1
# CaCu2Si, relaxed, DFT PBE
# Energy in eV per cell: -15.7
# V in Å³ per cell: 68
# E_form (uncorrected) in eV/atom: -0.02
data_CaCu2Si
_cell_length_a 3.164
_cell_length_b 3.164
_cell_length_c 6.765
_cell_angle_alpha 90.00
_cell_angle_beta 90.00
_cell_angle_gamma 90.00
_space_group_name_H-M_alt 'P 4 m m'
_space_group_IT_number 99
loop_
_space_group_symop_operation_xyz
'x,y,z'
'-y,x,z'
'-x,-y,z'
'y,-x,z'
'-x,y,z'
'y,x,z'
'x,-y,z'
'-y,-x,z'
loop_
_atom_site_label
_atom_site_fract_x
_atom_site_fract_y
_atom_site_fract_z
Ca1 0.000 0.000 0.000
Cu1 0.000 0.000 0.509
Cu2 0.500 0.500 0.314
Si1 0.500 0.500 0.677

No. 2
# CaCuSi3, relaxed, DFT PBE
# Energy in eV per cell: -13.6
# V in Å³ per cell: 146
# E_form (uncorrected) in eV/atom: 1.76
data_CaCuSi3
_cell_length_a 5.267
_cell_length_b 5.267
_cell_length_c 5.267
_cell_angle_alpha 90.00
_cell_angle_beta 90.00
_cell_angle_gamma 90.00
_space_group_name_H-M_alt 'P m -3 m'
_space_group_IT_number 221
_space_group_name_Hall '-P 4 2 3'
loop_
_atom_site_label
_atom_site_fract_x
_atom_site_fract_y
_atom_site_fract_z
Ca1 0.000 0.000 0.000
Cu1 0.500 0.500 0.500
Si1 0.000 0.000 0.500

No. 3
# CaCuSi, relaxed, DFT PBE
# Energy in eV per cell: -22.6
# V in Å³ per cell: 119
# E_form (uncorrected) in eV/atom: 0.08
data_CaCuSi
_cell_length_a 3.278
_cell_length_b 4.473
_cell_length_c 8.131
_cell_angle_alpha 90.00
_cell_angle_beta 90.00
_cell_angle_gamma 90.00
_space_group_name_H-M_alt 'I m m 2'
_space_group_IT_number 44
loop_
_space_group_symop_operation_xyz
'x,y,z'
'-x,-y,z'
'-x,y,z'
'x,-y,z'
'x+1/2,y+1/2,z+1/2'
'-x+1/2,-y+1/2,z+1/2'
'-x+1/2,y+1/2,z+1/2'
'x+1/2,-y+1/2,z+1/2'
loop_
_atom_site_label
_atom_site_fract_x
_atom_site_fract_y
_atom_site_fract_z
Ca1 0.000 0.000 0.000
Cu1 0.000 0.000 0.352
Si1 0.000 0.000 0.650

No. 4
# CaCu2Si, relaxed, DFT PBE
# Energy in eV per cell: -33.4
# V in Å³ per cell: 149
# E_form (uncorrected) in eV/atom: -0.27
data_CaCu2Si
_cell_length_a 7.148
_cell_length_b 4.130
_cell_length_c 5.605
_cell_angle_alpha 90.00
_cell_angle_beta 115.41
_cell_angle_gamma 90.00
_space_group_name_H-M_alt 'C 1 m 1'
_space_group_IT_number 8
loop_
_space_group_symop_operation_xyz
'x,y,z'
'x,-y,z'
'x+1/2,y+1/2,z'
'x+1/2,-y+1/2,z'
loop_
_atom_site_label
_atom_site_fract_x
_atom_site_fract_y
_atom_site_fract_z
Ca1 0.000 0.000 0.000
Cu1 0.193 0.000 0.575
Cu2 0.484 0.000 0.451
Si1 0.304 0.500 0.410

No. 5
# CaCuSi3, relaxed, DFT PBE
# Energy in eV per cell: -20.7
# V in Å³ per cell: 100
# E_form (uncorrected) in eV/atom: 0.34
data_CaCuSi3
_cell_length_a 4.642
_cell_length_b 4.642
_cell_length_c 4.642
_cell_angle_alpha 90.00
_cell_angle_beta 90.00
_cell_angle_gamma 90.00
_space_group_name_H-M_alt 'P m -3 m'
_space_group_IT_number 221
_space_group_name_Hall '-P 4 2 3'
loop_
_atom_site_label
_atom_site_fract_x
_atom_site_fract_y
_atom_site_fract_z
Ca1 0.000 0.000 0.000
Cu1 0.500 0.500 0.500
Si1 0.000 0.500 0.500

No. 6
# CaCu3Si, relaxed, DFT PBE
# Energy in eV per cell: -77.6
# V in Å³ per cell: 431
# E_form (uncorrected) in eV/atom: 0.06
data_CaCu3Si
_cell_length_a 4.525
_cell_length_b 4.525
_cell_length_c 21.064
_cell_angle_alpha 90.00
_cell_angle_beta 90.00
_cell_angle_gamma 90.00
_space_group_name_H-M_alt 'I -4 m 2'
_space_group_IT_number 119
_space_group_name_Hall 'I -4 -2'
loop_
_atom_site_label
_atom_site_fract_x
_atom_site_fract_y
_atom_site_fract_z
Ca1 0.000 0.000 0.000
Ca2 0.000 0.500 0.250
Cu1 0.000 0.251 0.124
Cu2 0.000 0.500 0.616
Si1 0.000 0.000 0.370

No. 7
# Ca3Cu6Si2, relaxed, DFT PBE
# Energy in eV per cell: -177.4
# V in Å³ per cell: 747
# E_form (uncorrected) in eV/atom: -0.27
data_Ca3Cu6Si2
_cell_length_a 9.075
_cell_length_b 9.075
_cell_length_c 9.075
_cell_angle_alpha 90.00
_cell_angle_beta 90.00
_cell_angle_gamma 90.00
_space_group_name_H-M_alt 'I m -3 m'
_space_group_IT_number 229
_space_group_name_Hall '-I 4 2 3'
loop_
_atom_site_label
_atom_site_fract_x
_atom_site_fract_y
_atom_site_fract_z
Ca1 0.000 0.000 0.280
Cu1 0.000 0.329 0.329
Si1 0.250 0.250 0.250

No. 8
# CaSmCu2Si2, relaxed, DFT PBE
# Energy in eV per cell: -28.9
# V in Å³ per cell: 120
# E_form (uncorrected) in eV/atom: -0.53
data_CaSmCu2Si2
_cell_length_a 4.1150
_cell_length_b 4.1150
_cell_length_c 8.1866
_cell_angle_alpha 90.00
_cell_angle_beta 90.00
_cell_angle_gamma 120.00
_space_group_name_H-M_alt 'P -3 m 1'
_space_group_IT_number 164
_space_group_name_Hall '-P 3 2"'
loop_
_atom_site_label
_atom_site_fract_x
_atom_site_fract_y
_atom_site_fract_z
Ca1 0.0000 0.0000 0.0000
Sm1 0.0000 0.0000 0.5000
Cu1 0.3333 0.6667 0.2513
Si1 0.3333 0.6667 0.7422